No. 1
# TcRh2Cl

An optimized crystal structure of TcRh2Cl (PBE-GGA, the Alexandria database).

The value obtained for the distance to the lowest polymorph of the same formula is 492.8 meV/atom. The calculation puts the total energy at -6.064 eV/atom. The calculation puts the formation energy without anion corrections at 2.66 eV/f.u.

The space group is Cmmm (No. 65) and the conventional cell measures 5.420, 7.912 and 2.775 Å, with angles of 90.00, 90.00 and 90.00 degrees. Symmetry generates all atoms from Tc at (0.000, 0.000, 0.000), Rh at (0.250, 0.250, 0.500) and Cl at (0.000, 0.500, 0.000).

=====

No. 2
# TlSb2Br

An optimized crystal structure of TlSb2Br (PBE-GGA, the Alexandria database).

The value obtained for the distance to the lowest polymorph of the same formula is 116.0 meV/atom. The calculation puts the total energy at -3.276 eV/atom. The calculation puts the formation energy without anion corrections at -0.82 eV/f.u.

The space group is P4mm (No. 99) and the conventional cell measures 3.814, 3.814 and 9.184 Å, with angles of 90.00, 90.00 and 90.00 degrees. Symmetry generates all atoms from Tl at (0.000, 0.000, 0.000), Sb at (0.000, 0.000, 0.508), Sb at (0.500, 0.500, 0.667) and Br at (0.500, 0.500, 0.181).

=====

No. 3
# Be2CrCl

An optimized crystal structure of Be2CrCl (PBE-GGA, the Alexandria database).

The value obtained for the distance to the lowest polymorph of the same formula is 196.2 meV/atom. The calculation puts the total energy at -4.340 eV/atom. The calculation puts the formation energy without anion corrections at 1.56 eV/f.u.

The space group is P4mm (No. 99) and the conventional cell measures 2.950, 2.950 and 6.870 Å, with angles of 90.00, 90.00 and 90.00 degrees. Symmetry generates all atoms from Be at (0.000, 0.000, 0.000), Be at (0.500, 0.500, 0.172), Cr at (0.500, 0.500, 0.842) and Cl at (0.000, 0.000, 0.356).

=====

No. 4
# CdSn

An optimized crystal structure of CdSn (PBE-GGA, the Alexandria database).

Its calculated formation energy is 45 meV/atom. The calculation puts the total energy at -2.414 eV/atom.

The space group is P2_1/m (No. 11) and the conventional cell measures 3.397, 4.329 and 6.967 Å, with angles of 90.00, 94.25 and 90.00 degrees. Symmetry generates all atoms from Cd at (0.247, 0.250, 0.113) and Sn at (0.249, 0.250, 0.636).

=====

No. 5
# CuN2F4

An optimized crystal structure of CuN2F4 (PBE-GGA, the Alexandria database).

The calculation puts the total energy at -3.997 eV/atom. The calculation puts the formation energy without anion corrections at 0.26 eV/f.u.

The space group is Fmmm (No. 69) and the conventional cell measures 5.319, 5.327 and 16.331 Å, with angles of 90.00, 90.00 and 90.00 degrees. Symmetry generates all atoms from Cu at (0.000, 0.000, 0.000), N at (0.000, 0.000, 0.352), F at (0.000, 0.000, 0.270) and F at (0.250, 0.250, 0.000).

=====

No. 6
# Pr6DyY2

An optimized crystal structure of Pr6DyY2 (PBE-GGA, the Alexandria database).

The value obtained for the distance to the lowest polymorph of the same formula is 0.0 meV/atom. Its calculated formation energy is 110 meV/atom. The calculation puts the total energy at -5.024 eV/atom.

The space group is C2/c (No. 15) and the conventional cell measures 12.301, 17.297 and 6.994 Å, with angles of 90.00, 122.20 and 90.00 degrees. Symmetry generates all atoms from Pr at (0.140, 0.173, 0.255), Pr at (0.176, 0.486, 0.343), Pr at (0.187, 0.171, 0.818), Dy at (0.000, 0.015, 0.750) and Y at (0.031, 0.342, 0.533).

=====

No. 7
# CsLiCo3

An optimized crystal structure of CsLiCo3 (PBE-GGA, the Alexandria database).

The value obtained for the distance to the lowest polymorph of the same formula is 712.5 meV/atom. Its calculated formation energy is 2255 meV/atom. The calculation puts the total energy at -2.562 eV/atom.

The space group is Pm-3m (No. 221) and the conventional cell measures 4.777, 4.777 and 4.777 Å, with angles of 90.00, 90.00 and 90.00 degrees. Symmetry generates all atoms from Cs at (0.000, 0.000, 0.000), Li at (0.500, 0.500, 0.500) and Co at (0.000, 0.000, 0.500).

=====

No. 8
# AlCdIr2Cl

An optimized crystal structure of AlCdIr2Cl (PBE-GGA, the Alexandria database).

The calculation puts the total energy at -3.077 eV/atom. The calculation puts the formation energy without anion corrections at 8.84 eV/f.u.

The space group is P4/mmm (No. 123) and the conventional cell measures 5.044, 5.044 and 4.983 Å, with angles of 90.00, 90.00 and 90.00 degrees. Symmetry generates all atoms from Al at (0.000, 0.000, 0.000), Cd at (0.000, 0.000, 0.500), Ir at (0.000, 0.500, 0.500) and Cl at (0.500, 0.500, 0.000).

=====

No. 9
# Sc2PtRh

An optimized crystal structure of Sc2PtRh (PBE-GGA, the Alexandria database).

Its calculated formation energy is -964 meV/atom. The calculation puts the total energy at -7.478 eV/atom.

The space group is I-4m2 (No. 119) and the conventional cell measures 3.855, 3.855 and 9.412 Å, with angles of 90.00, 90.00 and 90.00 degrees. Symmetry generates all atoms from Sc at (0.000, 0.000, 0.000), Sc at (0.000, 0.500, 0.250), Pt at (0.000, 0.500, 0.750) and Rh at (0.000, 0.000, 0.500).

=====

No. 10
# SrPmAs2Pt2

An optimized crystal structure of SrPmAs2Pt2 (PBE-GGA, the Alexandria database).

Its calculated formation energy is -1146 meV/atom. The calculation puts the total energy at -5.781 eV/atom.

The space group is P-3m1 (No. 164) and the conventional cell measures 4.3236, 4.3236 and 8.5057 Å, with angles of 90.00, 90.00 and 120.00 degrees. Symmetry generates all atoms from Sr at (0.0000, 0.0000, 0.0000), Pm at (0.0000, 0.0000, 0.5000), As at (0.3333, 0.6667, 0.2636) and Pt at (0.3333, 0.6667, 0.7339).

=====

No. 11
# Nb5RuPt4

An optimized crystal structure of Nb5RuPt4 (PBE-GGA, the Alexandria database).

Its calculated formation energy is -547 meV/atom. The calculation puts the total energy at -8.926 eV/atom.

The space group is P4/mmm (No. 123) and the conventional cell measures 2.842, 2.842 and 20.336 Å, with angles of 90.00, 90.00 and 90.00 degrees. Symmetry generates all atoms from Nb at (0.000, 0.000, 0.000), Nb at (0.000, 0.000, 0.202), Nb at (0.000, 0.000, 0.406), Ru at (0.500, 0.500, 0.500), Pt at (0.500, 0.500, 0.101) and Pt at (0.500, 0.500, 0.302).

=====

No. 12
# LiZn2PPt

An optimized crystal structure of LiZn2PPt (PBE-GGA, the Alexandria database).

Its calculated formation energy is 539 meV/atom. The calculation puts the total energy at -2.644 eV/atom.

The space group is P4/mmm (No. 123) and the conventional cell measures 4.320, 4.320 and 4.244 Å, with angles of 90.00, 90.00 and 90.00 degrees. Symmetry generates all atoms from Li at (0.000, 0.000, 0.000), Zn at (0.000, 0.500, 0.000), P at (0.500, 0.500, 0.500) and Pt at (0.000, 0.000, 0.500).